The following is a DFT calculation (PBE-GGA) of a geometry-optimized Tb3InNi8 structure.

a b c (Å): 5.033 5.033 8.761
angles (deg): 73.31 73.31 60.00
Positions (direct):
Ni (0.188, 0.188, 0.436)
Ni (0.937, 0.937, 0.687)
Ni (0.436, 0.939, 0.188)
In (0.873, 0.873, 0.382)
Ni (0.939, 0.436, 0.188)
Ni (0.436, 0.436, 0.188)
Ni (0.439, 0.937, 0.687)
Ni (0.688, 0.688, 0.936)
Tb (0.376, 0.376, 0.871)
Tb (0.996, 0.996, 0.013)
Tb (0.504, 0.504, 0.489)
Ni (0.937, 0.439, 0.687)

Properties
calculated formation energy: -410 meV/atom
V: 181.30 Å³/f.u.
symmetry: No. 160